Density functional theory data (PBE) for a geometry-optimized Zn3Sb2O7 structure.

It has space group Cmc2_1 (No. 36), with a = 19.286 Å, b = 5.519 Å, c = 5.470 Å, α = 90.00°, β = 90.00° and γ = 90.00°. The inequivalent atoms are Zn at (0.000, 0.247, 0.000), Zn at (0.206, 0.290, 0.959), Sb at (0.104, 0.239, 0.498), O at (0.000, 0.099, 0.342), O at (0.079, 0.426, 0.836), O at (0.144, 0.086, 0.180) and O at (0.205, 0.362, 0.585).

Its total energy is -0.190 hartree per atom. The density of states at the Fermi level comes out at 10.05 states/eV per cell.